MnAsIr2 | GGA-PBEsol | optimized geometry

Calculated values
space group: Amm2
calculated total energy: -0.3159 Ha/atom
ΔE_f: 33 meV/atom

a = 2.7676 Å, b = 3.8165 Å, c = 5.4536 Å
α = 90.00°, β = 104.70°, γ = 90.00°
Each line ends with the local moment (μB).
Positions (direct):
Mn: 0.5467 0.0000 0.0934  2.67
As: 0.9480 0.5000 0.8960  -0.06
Ir: 0.1762 0.5000 0.3524  -0.05
Ir: 0.8057 0.0000 0.6115  -0.05